Material: AgSbBr
Method: DFT, GGA-PBEsol
State: relaxed

abc: 3.697 3.697 6.173
angles: 90.00 90.00 120.00
Atoms (fractional coordinates):
Ag 0.000 0.000 0.000
Sb 0.667 0.333 0.296
Br 0.333 0.667 0.715

Values from the calculation:
Crystal system: trigonal
Space-group type: P3m1 (156)

***

Material: Ag2SbBr
Method: DFT, GGA-PBEsol
State: relaxed

abc: 3.681 3.681 22.797
angles: 90.00 90.00 120.00
Atoms (fractional coordinates):
Ag 0.000 0.000 0.249
Ag 0.000 0.000 0.751
Ag 0.333 0.667 0.418
Ag 0.333 0.667 0.916
Ag 0.667 0.333 0.084
Ag 0.667 0.333 0.582
Sb 0.000 0.000 0.500
Sb 0.333 0.667 0.167
Sb 0.667 0.333 0.833
Br 0.000 0.000 0.000
Br 0.333 0.667 0.667
Br 0.667 0.333 0.333

Values from the calculation:
Crystal system: trigonal
Space-group type: R-3m (166)

***

Material: Sc2AgBr
Method: DFT, GGA-PBEsol
State: relaxed

abc: 3.717 3.717 21.428
angles: 90.00 90.00 120.00
Atoms (fractional coordinates):
Sc 0.000 0.000 0.246
Sc 0.000 0.000 0.754
Sc 0.333 0.667 0.421
Sc 0.333 0.667 0.913
Sc 0.667 0.333 0.087
Sc 0.667 0.333 0.579
Ag 0.000 0.000 0.500
Ag 0.333 0.667 0.167
Ag 0.667 0.333 0.833
Br 0.000 0.000 0.000
Br 0.333 0.667 0.667
Br 0.667 0.333 0.333

Values from the calculation:
E above lowest polymorph: 6 meV/atom
Crystal system: trigonal
Space-group type: R-3m (166)

***

Material: Sc2AgBr
Method: DFT, GGA-PBEsol
State: relaxed

abc: 6.840 6.840 6.840
angles: 90.00 90.00 90.00
Atoms (fractional coordinates):
Sc 0.250 0.250 0.250
Sc 0.250 0.250 0.750
Sc 0.250 0.750 0.250
Sc 0.250 0.750 0.750
Sc 0.750 0.250 0.250
Sc 0.750 0.250 0.750
Sc 0.750 0.750 0.250
Sc 0.750 0.750 0.750
Ag 0.000 0.000 0.000
Ag 0.000 0.500 0.500
Ag 0.500 0.000 0.500
Ag 0.500 0.500 0.000
Br 0.000 0.000 0.500
Br 0.000 0.500 0.000
Br 0.500 0.000 0.000
Br 0.500 0.500 0.500

Values from the calculation:
E above lowest polymorph: 187 meV/atom
Crystal system: cubic
Space-group type: Fm-3m (225)

***

Material: ScAgBr3
Method: DFT, GGA-PBEsol
State: relaxed

abc: 5.225 5.225 5.225
angles: 90.00 90.00 90.00
Atoms (fractional coordinates):
Sc 0.000 0.000 0.000
Ag 0.500 0.500 0.500
Br 0.000 0.500 0.500
Br 0.500 0.000 0.500
Br 0.500 0.500 0.000

Values from the calculation:
Crystal system: cubic
Space-group type: Pm-3m (221)

***

Material: Sc2AgBr
Method: DFT, GGA-PBEsol
State: relaxed

abc: 3.872 3.863 5.614
angles: 90.00 90.11 90.00
Atoms (fractional coordinates):
Sc 0.000 0.000 0.000
Sc 0.500 0.500 0.500
Ag 0.000 0.000 0.500
Br 0.500 0.500 0.000

Values from the calculation:
E above lowest polymorph: 0 meV/atom
Crystal system: monoclinic
Space-group type: P2/m (10)

***

The Fermi-level density of states results, record by record, are as follows: 1.9 4.3 8.5 23.6 6.7 2.3 states/eV/cell.
The uncorrected formation energy results, record by record, are as follows: 0.017 -0.054 -0.476 -0.294 -0.204 -0.482 eV per atom.